Below is a relaxed structure of Tb3In3CuNi2, with properties calculated at the PBE level.

Final energy   -4.588 eV per atom

Unit cell a=7.4630 b=7.4630 c=3.8583 alpha=90.00 beta=90.00 gamma=120.00
Last column: nearest neighbours and their distance in Å.
Space group P-62m (No. 189)
Symmetry-distinct sites (fractional):
Tb 0.0000 0.5863 0.0000 [3 per cell]  4 Ni 2.96, 1 Cu 3.09, 2 In 3.12
In 0.0000 0.2570 0.5000 [3 per cell]  2 Cu 2.72, 2 Ni 2.82
Cu 0.0000 0.0000 0.0000 [1 per cell]  6 In 2.72
Ni 0.3333 0.6667 0.5000 [2 per cell]  3 In 2.82, 6 Tb 2.96